No. 1
BaV13O18 at its PBEsol-relaxed geometry, computed with meta-GGA SCAN.

Properties
Uncorrected formation energy (eV/atom): -2.56

a b c (Å): 12.5608 12.5608 6.7880
angles (deg): 90.00 90.00 120.00
Space group R-3 (No. 148, hexagonal axes)
Asymmetric unit:
Ba 0.0000 0.0000 0.0000
V 0.0000 0.0000 0.5000
V 0.0466 0.6090 0.5077
V 0.0633 0.5055 0.1932
O 0.0163 0.8727 0.6612
O 0.0393 0.7481 0.3402
O 0.0818 0.5038 0.6732


No. 2
Ba2VO4 at its PBEsol-relaxed geometry, computed with meta-GGA SCAN.

Properties
Uncorrected formation energy (eV/atom): -2.97

a b c (Å): 6.061 7.661 11.590
angles (deg): 90.00 117.32 90.00
Space group P2_1/c (No. 14)
Asymmetric unit:
Ba 0.027 0.003 0.303
Ba 0.312 0.654 0.573
V 0.341 0.218 0.582
O 0.148 0.176 0.139
O 0.240 0.175 0.927
O 0.287 0.508 0.077
O 0.337 0.736 0.330


No. 3
BaWO2 at its PBEsol-relaxed geometry, computed with meta-GGA SCAN.

Properties
Uncorrected formation energy (eV/atom): -0.18

a b c (Å): 6.084 6.084 6.084
angles (deg): 90.00 90.00 90.00
Space group Fm-3m (No. 225)
Asymmetric unit:
Ba 0.000 0.000 0.000
W 0.000 0.000 0.500
O 0.250 0.250 0.250


No. 4
BaW6O18 at its PBEsol-relaxed geometry, computed with meta-GGA SCAN.

Properties
Uncorrected formation energy (eV/atom): -2.35

a b c (Å): 7.4111 7.4111 7.6248
angles (deg): 90.00 90.00 120.00
Space group P6mm (No. 183)
Asymmetric unit:
Ba 0.0000 0.0000 0.0000
W 0.0000 0.5000 0.3692
W 0.0000 0.5000 0.8680
O 0.0000 0.5000 0.1177
O 0.0000 0.5000 0.6211
O 0.2089 0.4179 0.8722
O 0.2131 0.4262 0.3678


No. 5
Ba2ZrWO6 at its PBEsol-relaxed geometry, computed with meta-GGA SCAN.

Properties
Uncorrected formation energy (eV/atom): -3.03

a b c (Å): 8.219 8.219 8.219
angles (deg): 90.00 90.00 90.00
Space group Fm-3m (No. 225)
Asymmetric unit:
Ba 0.250 0.250 0.250
Zr 0.000 0.000 0.000
W 0.000 0.000 0.500
O 0.000 0.000 0.257


No. 6
Ba3YO at its PBEsol-relaxed geometry, computed with meta-GGA SCAN.

Properties
Uncorrected formation energy (eV/atom): 0.86
Polymorph energy (0 for the lowest one) (meV per atom): 1690

a b c (Å): 6.070 6.070 6.070
angles (deg): 90.00 90.00 90.00
Space group Pm-3m (No. 221)
Asymmetric unit:
Ba 0.000 0.000 0.500
Y 0.000 0.000 0.000
O 0.500 0.500 0.500


No. 7
BaY2O4 at its PBEsol-relaxed geometry, computed with meta-GGA SCAN.

Properties
Uncorrected formation energy (eV/atom): -3.62

a b c (Å): 10.343 3.440 12.044
angles (deg): 90.00 90.00 90.00
Space group Pnma (No. 62)
Asymmetric unit:
Ba 0.247 0.250 0.150
Y 0.074 0.250 0.389
Y 0.077 0.250 0.891
O 0.018 0.750 0.783
O 0.070 0.250 0.574
O 0.116 0.750 0.018
O 0.210 0.750 0.340


No. 8
BaY2O2 at its PBEsol-relaxed geometry, computed with meta-GGA SCAN.

Properties
Uncorrected formation energy (eV/atom): -2.55

a b c (Å): 3.944 3.944 17.941
angles (deg): 90.00 90.00 90.00
Space group I4/mmm (No. 139)
Asymmetric unit:
Ba 0.000 0.000 0.000
Y 0.000 0.000 0.307
O 0.000 0.500 0.250


No. 9
Ba3YO at its PBEsol-relaxed geometry, computed with meta-GGA SCAN.

Properties
Uncorrected formation energy (eV/atom): -0.83
Polymorph energy (0 for the lowest one) (meV per atom): 0

a b c (Å): 5.568 5.568 5.568
angles (deg): 90.00 90.00 90.00
Space group Pm-3m (No. 221)
Asymmetric unit:
Ba 0.000 0.000 0.500
Y 0.500 0.500 0.500
O 0.000 0.000 0.000


No. 10
BaY2ZnO5 at its PBEsol-relaxed geometry, computed with meta-GGA SCAN.

Properties
Uncorrected formation energy (eV/atom): -3.19

a b c (Å): 12.268 5.681 7.037
angles (deg): 90.00 90.00 90.00
Space group Pnma (No. 62)
Asymmetric unit:
Ba 0.101 0.250 0.077
Y 0.075 0.750 0.400
Y 0.208 0.250 0.620
Zn 0.151 0.750 0.809
O 0.065 0.502 0.665
O 0.101 0.750 0.076
O 0.225 0.001 0.359


No. 11
Ba2YZrO6 at its PBEsol-relaxed geometry, computed with meta-GGA SCAN.

Properties
Uncorrected formation energy (eV/atom): -3.31

a b c (Å): 8.578 8.578 8.578
angles (deg): 90.00 90.00 90.00
Space group Fm-3m (No. 225)
Asymmetric unit:
Ba 0.250 0.250 0.250
Y 0.000 0.000 0.000
Zr 0.000 0.000 0.500
O 0.000 0.000 0.258


No. 12
Ba2ZnO3 at its PBEsol-relaxed geometry, computed with meta-GGA SCAN.

Properties
Uncorrected formation energy (eV/atom): -2.42

a b c (Å): 5.817 11.380 12.565
angles (deg): 90.00 93.45 90.00
Space group C2/c (No. 15)
Asymmetric unit:
Ba 0.233 0.205 0.347
Ba 0.241 0.104 0.925
Zn 0.228 0.498 0.837
O 0.000 0.005 0.250
O 0.000 0.405 0.250
O 0.183 0.329 0.867
O 0.229 0.099 0.535


No. 13
BaZnO2 at its PBEsol-relaxed geometry, computed with meta-GGA SCAN.

Properties
Uncorrected formation energy (eV/atom): -2.14

a b c (Å): 5.932 5.932 7.110
angles (deg): 90.00 90.00 90.00
Space group I-42d (No. 122)
Asymmetric unit:
Ba 0.000 0.000 0.000
Zn 0.000 0.000 0.500
O 0.165 0.250 0.625


No. 14
Ba2Zr7O16 at its PBEsol-relaxed geometry, computed with meta-GGA SCAN.

Properties
Uncorrected formation energy (eV/atom): -3.68

a b c (Å): 6.4533 6.4533 27.1081
angles (deg): 90.00 90.00 120.00
Space group R-3 (No. 148, hexagonal axes)
Asymmetric unit:
Ba 0.0000 0.0000 0.1663
Zr 0.0000 0.0000 0.5000
Zr 0.0019 0.6316 0.3835
O 0.0000 0.0000 0.0686
O 0.0000 0.0000 0.2657
O 0.0052 0.7361 0.4550
O 0.0126 0.7225 0.6373


No. 15
Ba3Zr2O7 at its PBEsol-relaxed geometry, computed with meta-GGA SCAN.

Properties
Uncorrected formation energy (eV/atom): -3.48

a b c (Å): 4.188 4.188 21.777
angles (deg): 90.00 90.00 90.00
Space group I4/mmm (No. 139)
Asymmetric unit:
Ba 0.000 0.000 0.000
Ba 0.000 0.000 0.186
Zr 0.000 0.000 0.403
O 0.000 0.000 0.307
O 0.000 0.000 0.500
O 0.000 0.500 0.096


No. 16
BaZrO3 at its PBEsol-relaxed geometry, computed with meta-GGA SCAN.

Properties
Uncorrected formation energy (eV/atom): -3.62

a b c (Å): 4.190 4.190 4.190
angles (deg): 90.00 90.00 90.00
Space group Pm-3m (No. 221)
Asymmetric unit:
Ba 0.000 0.000 0.000
Zr 0.500 0.500 0.500
O 0.000 0.500 0.500


No. 17
BaZrO3 at its PBEsol-relaxed geometry, computed with meta-GGA SCAN.

Properties
Uncorrected formation energy (eV/atom): -3.62

a b c (Å): 5.919 5.919 8.390
angles (deg): 90.00 90.00 90.00
Space group I4/mcm (No. 140)
Asymmetric unit:
Ba 0.000 0.500 0.250
Zr 0.000 0.000 0.000
O 0.000 0.000 0.250
O 0.235 0.265 0.000


No. 18
Ba2Os3 at its PBEsol-relaxed geometry, computed with meta-GGA SCAN.

Properties
Final energy (eV/cell): -289.48

a b c (Å): 3.9744 3.9744 10.3564
angles (deg): 90.00 90.00 120.00
Space group P-3m1 (No. 164)
Asymmetric unit:
Ba 0.3333 0.6667 0.2908
Os 0.0000 0.0000 0.5000
Os 0.3333 0.6667 0.9764


| no. | total magnetic moment (μB/cell) |
| --- | --- |
| 1 | 5.67 |
| 2 | 4.00 |
| 3 | 0.01 |
| 4 | 0.00 |
| 5 | 0.01 |
| 6 | 0.00 |
| 7 | 0.00 |
| 8 | 0.06 |
| 9 | 2.42 |
| 10 | 0.00 |
| 11 | 4.24 |
| 12 | 0.00 |
| 13 | 0.00 |
| 14 | 0.00 |
| 15 | 0.00 |
| 16 | 0.00 |
| 17 | 0.00 |
| 18 | 0.00 |